# RbAg4Sb2 | Alexandria | PBE | optimized geometry
# **Total magnetic moment**: 0.00 μB/f.u.
# **E above lowest polymorph**: 48 meV/atom
# **E_tot**: -42.5 eV/cell
# **E_form (uncorrected)**: -92 meV per atom
data_RbAg4Sb2
_space_group_name_H-M_alt 'C m m m'
_space_group_IT_number 65
_space_group_name_Hall '-C 2 2'
_cell_length_a 4.792
_cell_length_b 16.005
_cell_length_c 4.839
_cell_angle_alpha 90.00
_cell_angle_beta 90.00
_cell_angle_gamma 90.00
loop_
_atom_site_label
_atom_site_type_symbol
_atom_site_fract_x
_atom_site_fract_y
_atom_site_fract_z
_atom_site_occupancy
Rb1 Rb 0.000 0.000 0.000 1
Ag1 Ag 0.000 0.198 0.500 1
Ag2 Ag 0.000 0.305 0.000 1
Sb1 Sb 0.000 0.393 0.500 1